1.
Material: Tb8Pr3Dy4
Method: DFT, GGA-PBE
State: optimized geometry

Results
**Formation energy**: 382 meV per atom
**Total moment**: 0.00 μB per cell
**Density of states at the Fermi level**: 57.0 states/eV per cell

Cell lengths 13.4766, 12.8345, 6.7942 Å; angles 90.00, 120.17, 90.00 degrees
Space group C2/m (No. 12)
Symmetry-distinct sites (fractional):
Tb 0.0000 0.1425 0.0000
Tb 0.0000 0.2471 0.5000
Tb 0.2298 0.0000 0.0052
Tb 0.2416 0.0000 0.4934
Pr 0.0000 0.0000 0.5000
Pr 0.2500 0.2500 0.0000
Dy 0.0000 0.5000 0.0000
Dy 0.0000 0.5000 0.5000
Dy 0.2500 0.2500 0.5000

=====

2.
Material: TbPrDy
Method: DFT, GGA-PBE
State: optimized geometry

Results
**Formation energy**: 18 meV per atom
**Offset from the most stable computed form**: 0.0000 eV/atom
**Total moment**: 0.00 μB per cell
**Density of states at the Fermi level**: 16.5 states/eV per cell

Cell lengths 6.2378, 10.8089, 6.2377 Å; angles 90.00, 109.14, 90.00 degrees
Space group C2/c (No. 15)
Symmetry-distinct sites (fractional):
Tb 0.0000 0.0819 0.2500
Pr 0.0000 0.2501 0.7500
Dy 0.0000 0.4182 0.2500

=====

3.
Material: Tb2Pr7Dy3
Method: DFT, GGA-PBE
State: optimized geometry

Results
**Formation energy**: 253 meV per atom
**Offset from the most stable computed form**: 0.1841 eV/atom
**Total moment**: 0.00 μB per cell
**Density of states at the Fermi level**: 35.6 states/eV per cell

Cell lengths 5.5731, 32.5657, 4.7325 Å; angles 90.00, 90.00, 90.00 degrees
Space group Cmmm (No. 65)
Symmetry-distinct sites (fractional):
Tb 0.0000 0.1594 0.0000
Pr 0.0000 0.0000 0.0000
Pr 0.0000 0.0794 0.5000
Pr 0.0000 0.2646 0.0000
Pr 0.0000 0.4166 0.0000
Dy 0.0000 0.3418 0.5000
Dy 0.0000 0.5000 0.5000

=====

4.
Material: Tb5Pr12Dy2
Method: DFT, GGA-PBE
State: optimized geometry

Results
**Formation energy**: 165 meV per atom
**Offset from the most stable computed form**: 0.0402 eV/atom
**Total moment**: 0.00 μB per cell
**Density of states at the Fermi level**: 60.7 states/eV per cell

Cell lengths 19.3777, 7.6053, 10.1051 Å; angles 90.00, 116.78, 90.00 degrees
Space group C2/m (No. 12)
Symmetry-distinct sites (fractional):
Tb 0.0000 0.0000 0.0000
Tb 0.1752 0.0000 0.6712
Tb 0.1789 0.5000 0.6945
Pr 0.0040 0.0000 0.7095
Pr 0.0087 0.5000 0.8306
Pr 0.1605 0.2491 0.3485
Pr 0.1650 0.2381 0.9971
Dy 0.0000 0.3002 0.5000

=====

5.
Material: Tb3Pr8Dy4
Method: DFT, GGA-PBE
State: optimized geometry

Results
**Formation energy**: 156 meV per atom
**Offset from the most stable computed form**: 0.0000 eV/atom
**Total moment**: 0.00 μB per cell
**Density of states at the Fermi level**: 75.3 states/eV per cell

Cell lengths 7.0728, 7.0728, 36.0661 Å; angles 90.00, 90.00, 120.00 degrees
Space group R-3m (No. 166, hexagonal axes)
Symmetry-distinct sites (fractional):
Tb 0.0000 0.5000 0.0000
Pr 0.0000 0.0000 0.2540
Pr 0.0014 0.5007 0.2501
Dy 0.0000 0.0000 0.0000
Dy 0.0000 0.0000 0.1645
Dy 0.0000 0.0000 0.5000

=====

6.
Material: TbPrDy
Method: DFT, GGA-PBE
State: optimized geometry

Results
**Formation energy**: 68 meV per atom
**Offset from the most stable computed form**: 0.0495 eV/atom
**Total moment**: 0.00 μB per cell
**Density of states at the Fermi level**: 4.4 states/eV per cell

Cell lengths 5.7176, 5.7176, 3.5123 Å; angles 90.00, 90.00, 120.00 degrees
Space group P-6m2 (No. 187)
Symmetry-distinct sites (fractional):
Tb 0.0000 0.0000 0.0000
Pr 0.3333 0.6667 0.5000
Dy 0.6667 0.3333 0.0000

=====

7.
Material: Tb2Pr3Dy4
Method: DFT, GGA-PBE
State: optimized geometry

Results
**Formation energy**: 98 meV per atom
**Offset from the most stable computed form**: 0.0000 eV/atom
**Total moment**: 0.00 μB per cell
**Density of states at the Fermi level**: 56.2 states/eV per cell

Cell lengths 16.4133, 11.7958, 6.1842 Å; angles 90.00, 97.31, 90.00 degrees
Space group C2/c (No. 15)
Symmetry-distinct sites (fractional):
Tb 0.1087 0.1216 0.2949
Pr 0.0000 0.1373 0.7500
Pr 0.1661 0.3611 0.5842
Dy 0.0582 0.3800 0.0375
Dy 0.2259 0.1200 0.8697

=====

8.
Material: Tb3Pr7Dy
Method: DFT, GGA-PBE
State: optimized geometry

Results
**Formation energy**: 71 meV per atom
**Offset from the most stable computed form**: 0.0000 eV/atom
**Total moment**: 0.00 μB per cell
**Density of states at the Fermi level**: 33.2 states/eV per cell

Cell lengths 6.9444, 10.1862, 11.9498 Å; angles 100.06, 101.34, 107.04 degrees
Space group P1 (No. 1)
Symmetry-distinct sites (fractional):
Tb 0.0000 0.0000 0.0000
Tb 0.1133 0.6623 0.9853
Tb 0.3544 0.0579 0.8144
Tb 0.4999 0.5002 0.4999
Tb 0.6130 0.1626 0.4856
Tb 0.8546 0.5578 0.3144
Pr 0.0276 0.4714 0.5822
Pr 0.1740 0.1806 0.5767
Pr 0.1862 0.8933 0.2649
Pr 0.2409 0.3586 0.9086
Pr 0.2934 0.8237 0.5357
Pr 0.4406 0.2546 0.2196
Pr 0.4735 0.7197 0.7993
Pr 0.5276 0.9711 0.0820
Pr 0.6742 0.6802 0.0763
Pr 0.6860 0.3937 0.7650
Pr 0.7407 0.8590 0.4081
Pr 0.7935 0.3235 0.0357
Pr 0.9403 0.7550 0.7196
Pr 0.9736 0.2195 0.2995
Dy 0.3008 0.5516 0.2306
Dy 0.8006 0.0519 0.7309

=====

9.
Material: TbPr4Dy4
Method: DFT, GGA-PBE
State: optimized geometry

Results
**Formation energy**: 105 meV per atom
**Offset from the most stable computed form**: 0.0862 eV/atom
**Total moment**: 0.00 μB per cell
**Density of states at the Fermi level**: 15.0 states/eV per cell

Cell lengths 5.6826, 6.8404, 9.0151 Å; angles 112.24, 108.30, 90.02 degrees
Space group P-1 (No. 2)
Symmetry-distinct sites (fractional):
Tb 0.0000 0.0000 0.0000
Pr 0.2190 0.2849 0.4380
Pr 0.3664 0.0428 0.7337
Dy 0.1228 0.6699 0.2447
Dy 0.4279 0.6251 0.8567

=====

10.
Material: Tb2Pr3Dy3
Method: DFT, GGA-PBE
State: optimized geometry

Results
**Formation energy**: 86 meV per atom
**Offset from the most stable computed form**: 0.0654 eV/atom
**Total moment**: 0.00 μB per cell
**Density of states at the Fermi level**: 26.8 states/eV per cell

Cell lengths 16.4264, 5.7835, 6.0615 Å; angles 90.00, 110.64, 90.00 degrees
Space group C2/m (No. 12)
Symmetry-distinct sites (fractional):
Tb 0.2499 0.0000 0.1814
Pr 0.0000 0.5000 0.5000
Pr 0.1352 0.5000 0.1965
Dy 0.0000 0.0000 0.0000
Dy 0.1322 0.0000 0.5807

=====

11.
Material: Tb3Pr2Dy3
Method: DFT, GGA-PBE
State: optimized geometry

Results
**Formation energy**: 21 meV per atom
**Offset from the most stable computed form**: 0.0000 eV/atom
**Total moment**: 0.00 μB per cell
**Density of states at the Fermi level**: 23.7 states/eV per cell

Cell lengths 5.0889, 5.0897, 20.2393 Å; angles 90.00, 90.00, 90.00 degrees
Space group Immm (No. 71)
Symmetry-distinct sites (fractional):
Tb 0.0000 0.0000 0.0000
Tb 0.0000 0.5000 0.3775
Pr 0.0000 0.0000 0.2500
Dy 0.0000 0.0000 0.5000
Dy 0.0000 0.5000 0.1225

=====

12.
Material: Tb5Pr6Dy
Method: DFT, GGA-PBE
State: optimized geometry

Results
**Formation energy**: 10 meV per atom
**Offset from the most stable computed form**: 0.0000 eV/atom
**Total moment**: 0.00 μB per cell
**Density of states at the Fermi level**: 27.7 states/eV per cell

Cell lengths 6.3205, 10.9459, 11.9315 Å; angles 90.00, 100.12, 90.00 degrees
Space group C2/m (No. 12)
Symmetry-distinct sites (fractional):
Tb 0.0000 0.0000 0.0000
Tb 0.0000 0.1666 0.5000
Tb 0.0000 0.3333 0.0000
Pr 0.2496 0.0000 0.7499
Pr 0.2505 0.1666 0.2502
Dy 0.0000 0.5000 0.5000